# AgP2CS, optimized geometry, DFT GGA-PBE
data_AgP2CS
_symmetry_space_group_name_H-M 'P 1'
_symmetry_Int_Tables_number 1
_cell_length_a 4.750
_cell_length_b 4.750
_cell_length_c 3.407
_cell_angle_alpha 90.00
_cell_angle_beta 90.00
_cell_angle_gamma 90.00
loop_
_symmetry_equiv_pos_as_xyz
'x,y,z'
loop_
_atom_site_label
_atom_site_type_symbol
_atom_site_fract_x
_atom_site_fract_y
_atom_site_fract_z
P1 P 0.000 0.500 0.000
P2 P 0.500 0.000 0.000
S1 S 0.000 0.000 0.000
C1 C 0.000 0.000 0.500
Ag1 Ag 0.500 0.500 0.500
# Density of states at the Fermi level: 0.83 states/eV/atom
# Formation energy from raw total energies: 7.174 eV per formula unit
# DFT total energy: -3.970 eV/atom
# E above lowest polymorph: 251.1 meV/atom